No. 1
# Tb6Pr12Y | Alexandria via LeMat-Bulk | PBE-GGA | relaxed
# Formation enthalpy at 0 K in meV per atom: 128
# Calculated total energy in eV for the cell shown: -89.16
# Distance to the lowest polymorph of the same formula in meV/atom: 0.0
data_Tb6Pr12Y
_chemical_formula_sum 'Tb6 Pr12 Y1'
_cell_length_a 8.7629
_cell_length_b 8.7629
_cell_length_c 8.7629
_cell_angle_alpha 88.97
_cell_angle_beta 88.97
_cell_angle_gamma 88.97
_space_group_name_H-M_alt 'P 1'
_space_group_IT_number 1
_space_group_name_Hall 'P 1'
loop_
_atom_site_label
_atom_site_type_symbol
_atom_site_fract_x
_atom_site_fract_y
_atom_site_fract_z
_atom_site_occupancy
Tb1 Tb 0.2036 0.7599 0.5988 1
Tb2 Tb 0.2401 0.4012 0.7964 1
Tb3 Tb 0.4012 0.7964 0.2401 1
Tb4 Tb 0.5988 0.2036 0.7599 1
Tb5 Tb 0.7599 0.5988 0.2036 1
Tb6 Tb 0.7964 0.2401 0.4012 1
Pr1 Pr 0.0360 0.9331 0.2817 1
Pr2 Pr 0.0669 0.7183 0.9640 1
Pr3 Pr 0.1369 0.4820 0.3074 1
Pr4 Pr 0.2817 0.0360 0.9331 1
Pr5 Pr 0.3074 0.1369 0.4820 1
Pr6 Pr 0.4820 0.3074 0.1369 1
Pr7 Pr 0.5180 0.6926 0.8631 1
Pr8 Pr 0.6926 0.8631 0.5180 1
Pr9 Pr 0.7183 0.9640 0.0669 1
Pr10 Pr 0.8631 0.5180 0.6926 1
Pr11 Pr 0.9331 0.2817 0.0360 1
Pr12 Pr 0.9640 0.0669 0.7183 1
Y1 Y 0.5000 0.5000 0.5000 1



No. 2
# NaPmHg6 | Alexandria via LeMat-Bulk | PBE-GGA | relaxed
# Formation enthalpy at 0 K in meV per atom: -278
# Calculated total energy in eV for the cell shown: -10.11
data_NaPmHg6
_chemical_formula_sum 'Na1 Pm1 Hg6'
_cell_length_a 5.1760
_cell_length_b 6.6830
_cell_length_c 6.6830
_cell_angle_alpha 60.06
_cell_angle_beta 90.00
_cell_angle_gamma 90.00
_space_group_name_H-M_alt 'P 1'
_space_group_IT_number 1
_space_group_name_Hall 'P 1'
loop_
_atom_site_label
_atom_site_type_symbol
_atom_site_fract_x
_atom_site_fract_y
_atom_site_fract_z
_atom_site_occupancy
Na1 Na 0.0000 0.0000 0.0000 1
Pm1 Pm 0.5000 0.6672 0.6672 1
Hg1 Hg 0.0000 0.0068 0.4966 1
Hg2 Hg 0.0000 0.4966 0.0068 1
Hg3 Hg 0.0000 0.4969 0.4969 1
Hg4 Hg 0.5000 0.1677 0.1677 1
Hg5 Hg 0.5000 0.1676 0.6663 1
Hg6 Hg 0.5000 0.6663 0.1676 1



No. 3
# NbCrTc2 | Alexandria via LeMat-Bulk | PBE-GGA | relaxed
# Formation enthalpy at 0 K in meV per atom: -59
# Calculated total energy in eV for the cell shown: -40.66
data_NbCrTc2
_chemical_formula_sum 'Nb1 Cr1 Tc2'
_cell_length_a 4.3792
_cell_length_b 4.3792
_cell_length_c 3.1109
_cell_angle_alpha 90.00
_cell_angle_beta 90.00
_cell_angle_gamma 90.00
_space_group_name_H-M_alt 'P 1'
_space_group_IT_number 1
_space_group_name_Hall 'P 1'
loop_
_atom_site_label
_atom_site_type_symbol
_atom_site_fract_x
_atom_site_fract_y
_atom_site_fract_z
_atom_site_occupancy
Nb1 Nb 0.0000 0.0000 0.0000 1
Cr1 Cr 0.5000 0.5000 0.0000 1
Tc1 Tc 0.0000 0.5000 0.5000 1
Tc2 Tc 0.5000 0.0000 0.5000 1



No. 4
# KSc2Al | Alexandria via LeMat-Bulk | PBE-GGA | relaxed
# Formation enthalpy at 0 K in meV per atom: 807
# Calculated total energy in eV for the cell shown: -28.55
data_KSc2Al
_chemical_formula_sum 'K2 Sc4 Al2'
_cell_length_a 10.5957
_cell_length_b 10.5957
_cell_length_c 10.5957
_cell_angle_alpha 148.11
_cell_angle_beta 148.11
_cell_angle_gamma 45.72
_space_group_name_H-M_alt 'P 1'
_space_group_IT_number 1
_space_group_name_Hall 'P 1'
loop_
_atom_site_label
_atom_site_type_symbol
_atom_site_fract_x
_atom_site_fract_y
_atom_site_fract_z
_atom_site_occupancy
K1 K 0.0000 0.0000 0.0000 1
K2 K 0.7500 0.2500 0.5000 1
Sc1 Sc 0.3734 0.6250 0.2484 1
Sc2 Sc 0.3750 0.6234 0.7484 1
Sc3 Sc 0.3766 0.1250 0.7516 1
Sc4 Sc 0.8750 0.6266 0.2516 1
Al1 Al 0.2500 0.7500 0.5000 1
Al2 Al 0.5000 0.5000 0.0000 1



No. 5
# CsRuSe2O8 | Alexandria via LeMat-Bulk | PBE-GGA | relaxed
# Calculated total energy in eV for the cell shown: -67.09
data_CsRuSe2O8
_chemical_formula_sum 'Cs1 Ru1 Se2 O8'
_cell_length_a 9.6878
_cell_length_b 9.6878
_cell_length_c 9.6878
_cell_angle_alpha 30.54
_cell_angle_beta 30.54
_cell_angle_gamma 30.54
_space_group_name_H-M_alt 'P 1'
_space_group_IT_number 1
_space_group_name_Hall 'P 1'
loop_
_atom_site_label
_atom_site_type_symbol
_atom_site_fract_x
_atom_site_fract_y
_atom_site_fract_z
_atom_site_occupancy
Cs1 Cs 0.0000 0.0000 0.0000 1
Ru1 Ru 0.5000 0.5000 0.5000 1
Se1 Se 0.2282 0.2282 0.2282 1
Se2 Se 0.7718 0.7718 0.7718 1
O1 O 0.1265 0.4771 0.7663 1
O2 O 0.2337 0.8735 0.5229 1
O3 O 0.2879 0.2879 0.2879 1
O4 O 0.4771 0.7663 0.1265 1
O5 O 0.5229 0.2337 0.8735 1
O6 O 0.7121 0.7121 0.7121 1
O7 O 0.7663 0.1265 0.4771 1
O8 O 0.8735 0.5229 0.2337 1



No. 6
# Pm3Pr4YSe8 | Alexandria via LeMat-Bulk | PBE-GGA | relaxed
# Calculated total energy in eV for the cell shown: -96.93
data_Pm3Pr4YSe8
_chemical_formula_sum 'Pm3 Pr4 Y1 Se8'
_cell_length_a 8.4667
_cell_length_b 8.4667
_cell_length_c 8.4667
_cell_angle_alpha 59.57
_cell_angle_beta 59.57
_cell_angle_gamma 59.57
_space_group_name_H-M_alt 'P 1'
_space_group_IT_number 1
_space_group_name_Hall 'P 1'
loop_
_atom_site_label
_atom_site_type_symbol
_atom_site_fract_x
_atom_site_fract_y
_atom_site_fract_z
_atom_site_occupancy
Pm1 Pm 0.0000 0.5000 0.5000 1
Pm2 Pm 0.5000 0.0000 0.5000 1
Pm3 Pm 0.5000 0.5000 0.0000 1
Pr1 Pr 0.0000 0.0000 0.5000 1
Pr2 Pr 0.0000 0.5000 0.0000 1
Pr3 Pr 0.5000 0.0000 0.0000 1
Pr4 Pr 0.5000 0.5000 0.5000 1
Y1 Y 0.0000 0.0000 0.0000 1
Se1 Se 0.2440 0.2440 0.7518 1
Se2 Se 0.2440 0.7518 0.2440 1
Se3 Se 0.2482 0.7560 0.7560 1
Se4 Se 0.2521 0.2521 0.2521 1
Se5 Se 0.7479 0.7479 0.7479 1
Se6 Se 0.7518 0.2440 0.2440 1
Se7 Se 0.7560 0.2482 0.7560 1
Se8 Se 0.7560 0.7560 0.2482 1



No. 7
# Nd4Tm5Mg | Alexandria via LeMat-Bulk | PBE-GGA | relaxed
# Formation enthalpy at 0 K in meV per atom: 176
# Calculated total energy in eV for the cell shown: -41.26
# Distance to the lowest polymorph of the same formula in meV/atom: 170.8
data_Nd4Tm5Mg
_chemical_formula_sum 'Nd4 Tm5 Mg1'
_cell_length_a 8.1071
_cell_length_b 8.1071
_cell_length_c 8.1071
_cell_angle_alpha 97.12
_cell_angle_beta 97.12
_cell_angle_gamma 138.76
_space_group_name_H-M_alt 'P 1'
_space_group_IT_number 1
_space_group_name_Hall 'P 1'
loop_
_atom_site_label
_atom_site_type_symbol
_atom_site_fract_x
_atom_site_fract_y
_atom_site_fract_z
_atom_site_occupancy
Nd1 Nd 0.0000 0.3169 0.3169 1
Nd2 Nd 0.0000 0.6831 0.6831 1
Nd3 Nd 0.3169 0.0000 0.3169 1
Nd4 Nd 0.6831 0.0000 0.6831 1
Tm1 Tm 0.2054 0.2054 0.0000 1
Tm2 Tm 0.3056 0.3056 0.6305 1
Tm3 Tm 0.3056 0.6751 0.0000 1
Tm4 Tm 0.6751 0.3056 0.0000 1
Tm5 Tm 0.6751 0.6751 0.3695 1
Mg1 Mg 0.7216 0.7216 0.0000 1



No. 8
# TlAuN2 | Alexandria via LeMat-Bulk | PBE-GGA | relaxed
# Calculated total energy in eV for the cell shown: -33.84
# Distance to the lowest polymorph of the same formula in meV/atom: 1283.5
data_TlAuN2
_chemical_formula_sum 'Tl2 Au2 N4'
_cell_length_a 6.3750
_cell_length_b 6.3750
_cell_length_c 6.3750
_cell_angle_alpha 132.54
_cell_angle_beta 132.54
_cell_angle_gamma 69.37
_space_group_name_H-M_alt 'P 1'
_space_group_IT_number 1
_space_group_name_Hall 'P 1'
loop_
_atom_site_label
_atom_site_type_symbol
_atom_site_fract_x
_atom_site_fract_y
_atom_site_fract_z
_atom_site_occupancy
Tl1 Tl 0.0000 0.0000 0.0000 1
Tl2 Tl 0.7500 0.2500 0.5000 1
Au1 Au 0.2500 0.7500 0.5000 1
Au2 Au 0.5000 0.5000 0.0000 1
N1 N 0.1626 0.6250 0.0376 1
N2 N 0.3750 0.4126 0.5376 1
N3 N 0.5874 0.1250 0.9624 1
N4 N 0.8750 0.8374 0.4624 1



No. 9
# Tl2Cd3 | Alexandria via LeMat-Bulk | PBE-GGA | relaxed
# Formation enthalpy at 0 K in meV per atom: 120
# Calculated total energy in eV for the cell shown: -6.88
# Distance to the lowest polymorph of the same formula in meV/atom: 85.2
data_Tl2Cd3
_chemical_formula_sum 'Tl2 Cd3'
_cell_length_a 4.9949
_cell_length_b 4.9949
_cell_length_c 6.8814
_cell_angle_alpha 90.00
_cell_angle_beta 90.00
_cell_angle_gamma 120.00
_space_group_name_H-M_alt 'P 1'
_space_group_IT_number 1
_space_group_name_Hall 'P 1'
loop_
_atom_site_label
_atom_site_type_symbol
_atom_site_fract_x
_atom_site_fract_y
_atom_site_fract_z
_atom_site_occupancy
Tl1 Tl 0.3333 0.6667 0.3298 1
Tl2 Tl 0.6667 0.3333 0.6702 1
Cd1 Cd 0.0000 0.0000 0.5000 1
Cd2 Cd 0.3333 0.6667 0.8777 1
Cd3 Cd 0.6667 0.3333 0.1223 1



No. 10
# B5C | Alexandria via LeMat-Bulk | PBE-GGA | relaxed
# Formation enthalpy at 0 K in meV per atom: 417
# Calculated total energy in eV for the cell shown: -80.22
# Distance to the lowest polymorph of the same formula in meV/atom: 220.1
data_B5C
_chemical_formula_sum 'B10 C2'
_cell_length_a 2.1395
_cell_length_b 2.5884
_cell_length_c 14.8872
_cell_angle_alpha 90.00
_cell_angle_beta 90.00
_cell_angle_gamma 90.00
_space_group_name_H-M_alt 'P 1'
_space_group_IT_number 1
_space_group_name_Hall 'P 1'
loop_
_atom_site_label
_atom_site_type_symbol
_atom_site_fract_x
_atom_site_fract_y
_atom_site_fract_z
_atom_site_occupancy
B1 B 0.2500 0.0000 0.0475 1
B2 B 0.2500 0.0000 0.3701 1
B3 B 0.2500 0.5000 0.1295 1
B4 B 0.2500 0.5000 0.4530 1
B5 B 0.2500 0.5000 0.7739 1
B6 B 0.7500 0.0000 0.6299 1
B7 B 0.7500 0.0000 0.9525 1
B8 B 0.7500 0.5000 0.2261 1
B9 B 0.7500 0.5000 0.5470 1
B10 B 0.7500 0.5000 0.8705 1
C1 C 0.2500 0.0000 0.7126 1
C2 C 0.7500 0.0000 0.2874 1



No. 11
# CsLi2LaTl | Alexandria via LeMat-Bulk | PBE-GGA | relaxed
# Formation enthalpy at 0 K in meV per atom: 667
# Calculated total energy in eV for the cell shown: -8.64
data_CsLi2LaTl
_chemical_formula_sum 'Cs1 Li2 La1 Tl1'
_cell_length_a 5.2712
_cell_length_b 5.2712
_cell_length_c 6.4790
_cell_angle_alpha 90.00
_cell_angle_beta 90.00
_cell_angle_gamma 90.00
_space_group_name_H-M_alt 'P 1'
_space_group_IT_number 1
_space_group_name_Hall 'P 1'
loop_
_atom_site_label
_atom_site_type_symbol
_atom_site_fract_x
_atom_site_fract_y
_atom_site_fract_z
_atom_site_occupancy
Cs1 Cs 0.0000 0.0000 0.0000 1
Li1 Li 0.0000 0.5000 0.0000 1
Li2 Li 0.5000 0.0000 0.0000 1
La1 La 0.5000 0.5000 0.5000 1
Tl1 Tl 0.0000 0.0000 0.5000 1



No. 12
# MoIr3 | Alexandria via LeMat-Bulk | PBE-GGA | relaxed
# Formation enthalpy at 0 K in meV per atom: -160
# Calculated total energy in eV for the cell shown: -38.05
# Distance to the lowest polymorph of the same formula in meV/atom: 175.9
data_MoIr3
_chemical_formula_sum 'Mo1 Ir3'
_cell_length_a 4.7711
_cell_length_b 4.7711
_cell_length_c 4.7834
_cell_angle_alpha 99.44
_cell_angle_beta 99.44
_cell_angle_gamma 33.42
_space_group_name_H-M_alt 'P 1'
_space_group_IT_number 1
_space_group_name_Hall 'P 1'
loop_
_atom_site_label
_atom_site_type_symbol
_atom_site_fract_x
_atom_site_fract_y
_atom_site_fract_z
_atom_site_occupancy
Mo1 Mo 0.0000 0.0000 0.0000 1
Ir1 Ir 0.2507 0.2507 0.7484 1
Ir2 Ir 0.5000 0.5000 0.5000 1
Ir3 Ir 0.7493 0.7493 0.2516 1